# SrZr3Si (GGA-PBE, optimized geometry)
# Final energy in eV/f.u.: -22.82
# E_form (uncorrected) in eV per atom: 1.98
# Energy relative to the lowest polymorph listed for this composition in meV per atom: 1777
# Density of states at the Fermi level in states/eV/cell: 6.90
# Density in Mg/m³: 4.9
data_SrZr3Si
_cell_length_a 5.082
_cell_length_b 5.082
_cell_length_c 5.082
_cell_angle_alpha 90.00
_cell_angle_beta 90.00
_cell_angle_gamma 90.00
_symmetry_space_group_name_H-M 'P 1'
_symmetry_Int_Tables_number 1
loop_
_symmetry_equiv_pos_as_xyz
'x,y,z'
loop_
_atom_site_label
_atom_site_fract_x
_atom_site_fract_y
_atom_site_fract_z
Sr1 0.000 0.000 0.000
Zr1 0.000 0.000 0.500
Zr2 0.000 0.500 0.000
Zr3 0.500 0.000 0.000
Si1 0.500 0.500 0.500


# Sr2ZrSi (GGA-PBE, optimized geometry)
# Final energy in eV/f.u.: -17.20
# E_form (uncorrected) in eV per atom: 0.03
# Density of states at the Fermi level in states/eV/cell: 4.68
# Density in Mg/m³: 3.9
data_Sr2ZrSi
_cell_length_a 6.723
_cell_length_b 6.723
_cell_length_c 6.723
_cell_angle_alpha 145.65
_cell_angle_beta 131.65
_cell_angle_gamma 60.65
_symmetry_space_group_name_H-M 'P 1'
_symmetry_Int_Tables_number 1
loop_
_symmetry_equiv_pos_as_xyz
'x,y,z'
loop_
_atom_site_label
_atom_site_fract_x
_atom_site_fract_y
_atom_site_fract_z
Sr1 0.000 0.000 0.000
Sr2 0.698 0.198 0.500
Zr1 0.309 0.809 0.500
Si1 0.459 0.459 0.000


# Sr4ZrSi (GGA-PBE, optimized geometry)
# Final energy in eV/f.u.: -15.30
# E_form (uncorrected) in eV per atom: 0.90
# Density of states at the Fermi level in states/eV/cell: 7.36
# Density in Mg/m³: 3.5
data_Sr4ZrSi
_cell_length_a 6.828
_cell_length_b 6.828
_cell_length_c 6.828
_cell_angle_alpha 60.00
_cell_angle_beta 60.00
_cell_angle_gamma 60.00
_symmetry_space_group_name_H-M 'P 1'
_symmetry_Int_Tables_number 1
loop_
_symmetry_equiv_pos_as_xyz
'x,y,z'
loop_
_atom_site_label
_atom_site_fract_x
_atom_site_fract_y
_atom_site_fract_z
Sr1 0.125 0.125 0.125
Sr2 0.125 0.125 0.625
Sr3 0.125 0.625 0.125
Sr4 0.625 0.125 0.125
Zr1 0.750 0.750 0.750
Si1 0.500 0.500 0.500


# Sr2ZrSi (GGA-PBE, optimized geometry)
# Final energy in eV/f.u.: -17.57
# E_form (uncorrected) in eV per atom: -0.06
# Density of states at the Fermi level in states/eV/cell: 0.89
# Density in Mg/m³: 3.3
data_Sr2ZrSi
_cell_length_a 4.365
_cell_length_b 4.365
_cell_length_c 9.384
_cell_angle_alpha 103.34
_cell_angle_beta 103.34
_cell_angle_gamma 59.97
_symmetry_space_group_name_H-M 'P 1'
_symmetry_Int_Tables_number 1
loop_
_symmetry_equiv_pos_as_xyz
'x,y,z'
loop_
_atom_site_label
_atom_site_fract_x
_atom_site_fract_y
_atom_site_fract_z
Sr1 0.000 0.000 0.000
Sr2 0.193 0.193 0.583
Zr1 0.433 0.433 0.301
Si1 0.739 0.739 0.219


# SrZrSi3 (GGA-PBE, optimized geometry)
# Final energy in eV/f.u.: -18.41
# E_form (uncorrected) in eV per atom: 1.62
# Energy relative to the lowest polymorph listed for this composition in meV per atom: 1539
# Density of states at the Fermi level in states/eV/cell: 2.64
# Density in Mg/m³: 3.3
data_SrZrSi3
_cell_length_a 5.114
_cell_length_b 5.114
_cell_length_c 5.114
_cell_angle_alpha 90.00
_cell_angle_beta 90.00
_cell_angle_gamma 90.00
_symmetry_space_group_name_H-M 'P 1'
_symmetry_Int_Tables_number 1
loop_
_symmetry_equiv_pos_as_xyz
'x,y,z'
loop_
_atom_site_label
_atom_site_fract_x
_atom_site_fract_y
_atom_site_fract_z
Sr1 0.000 0.000 0.000
Zr1 0.500 0.500 0.500
Si1 0.000 0.000 0.500
Si2 0.000 0.500 0.000
Si3 0.500 0.000 0.000


# Sr2ZrSi (GGA-PBE, optimized geometry)
# Final energy in eV/f.u.: -15.99
# E_form (uncorrected) in eV per atom: 0.34
# Density of states at the Fermi level in states/eV/cell: 2.24
# Density in Mg/m³: 3.0
data_Sr2ZrSi
_cell_length_a 8.255
_cell_length_b 8.255
_cell_length_c 8.255
_cell_angle_alpha 95.85
_cell_angle_beta 95.85
_cell_angle_gamma 142.75
_symmetry_space_group_name_H-M 'P 1'
_symmetry_Int_Tables_number 1
loop_
_symmetry_equiv_pos_as_xyz
'x,y,z'
loop_
_atom_site_label
_atom_site_fract_x
_atom_site_fract_y
_atom_site_fract_z
Sr1 0.375 0.015 0.140
Sr2 0.765 0.625 0.640
Sr3 0.875 0.235 0.860
Sr4 0.985 0.125 0.360
Zr1 0.250 0.750 0.500
Zr2 0.500 0.500 0.000
Si1 0.000 0.000 0.000
Si2 0.750 0.250 0.500


Question: Which value of density of states at the Fermi level does entry 3 give?
Answer: 7.36 states/eV/cell


Question: The lowest density belongs to which entry?
Answer: number 6